[1]
! RbSnPb2S4 | Alexandria via LeMat-Bulk | PBE | relaxed; values from VASP
! Uncorrected energy   -4.127 eV/atom
! E_form (uncorrected)   -0.515 eV/atom
&SYSTEM
  ibrav = 0, nat = 16, ntyp = 4
/
ATOMIC_SPECIES
S 32.06 S.upf
Sn 118.71 Sn.upf
Rb 85.47 Rb.upf
Pb 207.20 Pb.upf
CELL_PARAMETERS angstrom
8.519 0.009 0.037
0.003 8.519 0.037
-4.187 -4.190 5.989
ATOMIC_POSITIONS angstrom
S 4.150 -0.031 2.879
S 4.183 4.359 3.092
Sn 4.332 -4.181 6.026
Rb 6.427 2.174 3.051
S 2.188 2.017 0.061
Pb 2.166 -2.090 3.013
S 2.130 -2.199 5.873
Pb -2.093 -2.095 2.995
S 2.205 6.538 0.191
Pb 4.259 0.005 0.019
Rb 0.002 4.259 0.019
Pb 4.261 4.264 0.037
S 0.185 4.369 3.185
Sn 2.168 2.169 3.032
S 2.147 2.322 6.003
S 0.153 -0.021 2.971

[2]
! AlRuBr3 | Alexandria via LeMat-Bulk | PBE | relaxed; values from VASP
! Uncorrected energy   -3.144 eV/atom
! Relative energy among the computed polymorphs   7.07 kcal/mol of atoms
! E_form (uncorrected)   0.463 eV/atom
&SYSTEM
  ibrav = 0, nat = 5, ntyp = 3
/
ATOMIC_SPECIES
Ru 101.07 Ru.upf
Br 79.90 Br.upf
Al 26.98 Al.upf
CELL_PARAMETERS angstrom
-2.666 -2.448 -3.677
4.004 0.475 -3.219
1.866 -4.517 1.654
ATOMIC_POSITIONS angstrom
Ru 1.602 -3.245 -2.621
Br -1.333 -1.224 -1.838
Al 0.000 0.000 0.000
Br 0.933 -2.258 0.827
Br 2.002 0.237 -1.610

[3]
! Tb6Nd2Dy3Zr | Alexandria via LeMat-Bulk | PBE | relaxed; values from VASP
! Uncorrected energy   -4.920 eV/atom
! DFT formation energy   0.05 eV/atom
&SYSTEM
  ibrav = 0, nat = 12, ntyp = 4
/
ATOMIC_SPECIES
Tb 158.93 Tb.upf
Nd 144.24 Nd.upf
Dy 162.50 Dy.upf
Zr 91.22 Zr.upf
CELL_PARAMETERS angstrom
-0.828 6.045 0.590
-2.171 -2.916 -4.936
-8.981 -2.938 6.947
ATOMIC_POSITIONS angstrom
Tb -4.490 1.640 -1.569
Nd -1.723 0.070 -3.094
Dy -5.990 0.096 1.300
Zr 0.000 0.000 0.000
Dy -6.438 -2.895 -0.543
Tb -7.490 -1.448 4.169
Dy -5.542 3.086 3.144
Tb -3.180 -1.420 -0.248
Tb -9.238 -1.311 1.047
Tb -8.800 1.612 2.849
Tb -2.742 1.503 1.554
Nd -1.275 3.059 -1.252

[4]
! Tb3Ga3Au2 | Alexandria via LeMat-Bulk | PBE | relaxed; values from VASP
! Uncorrected energy   -4.451 eV/atom
! DFT formation energy   -0.76 eV/atom
&SYSTEM
  ibrav = 0, nat = 16, ntyp = 3
/
ATOMIC_SPECIES
Au 196.97 Au.upf
Tb 158.93 Tb.upf
Ga 69.72 Ga.upf
CELL_PARAMETERS angstrom
-1.360 1.414 3.988
-2.768 -4.779 -1.726
10.340 -8.328 6.480
ATOMIC_POSITIONS angstrom
Au 6.509 -9.193 7.956
Tb 0.546 -5.871 4.745
Ga 0.150 -4.958 1.809
Au -0.298 -2.500 0.785
Ga 3.350 -4.059 5.058
Tb 5.666 -5.822 3.997
Ga 2.862 -7.634 3.683
Tb 5.256 -9.197 5.054
Tb 8.577 -8.167 5.821
Ga 7.283 -11.194 6.453
Ga -1.071 -0.499 2.288
Au 2.709 -4.922 2.669
Tb -2.365 -3.527 2.920
Ga 6.062 -6.735 6.932
Au 3.503 -6.771 6.072
Tb 0.955 -2.496 3.688

no.,size of the total moment (μB/f.u.)
1,0.0
2,3.1
3,0.0
4,0.0